PBE-GGA Mg12In3Sn, relaxed; E_form = -0.095 eV per atom; symmetry = P4/mmm, No. 123
1.0
4.462 0.000 0.000
0.000 4.462 0.000
0.000 0.000 18.209
Mg In Sn
12 3 1
direct
0.000 0.000 0.000
0.000 0.000 0.249
0.000 0.000 0.500
0.000 0.000 0.751
0.000 0.500 0.124
0.000 0.500 0.374
0.000 0.500 0.626
0.000 0.500 0.876
0.500 0.000 0.124
0.500 0.000 0.374
0.500 0.000 0.626
0.500 0.000 0.876
0.500 0.500 0.249
0.500 0.500 0.500
0.500 0.500 0.751
0.500 0.500 0.000

***

PBE-GGA Cu2SiIr, relaxed; raw formation energy = -0.123 eV/atom; symmetry = Pmmm, No. 47
1.0
2.836 0.000 0.000
0.000 4.087 0.000
0.000 0.000 4.442
Cu Si Ir
2 1 1
direct
0.000 0.000 0.000
0.500 0.500 0.000
0.000 0.500 0.500
0.500 0.000 0.500

***

| no. | volume (Å³/cell) |
| --- | --- |
| 1 | 363 |
| 2 | 51 |